(1)
Here is crystalline Ho2Tl4Cd at its relaxed geometry from the Alexandria database. Energies are from PBE.

Lattice parameters (Å, degrees): 5.6998 5.6998 7.6328 111.93 111.93 89.99
Last column: nearest neighbours and their distance in Å.
Element x y z (fractional)
Tl: 0.7500 0.2500 0.5000  4 Ho 3.19, 2 Tl 3.24
Tl: 0.2500 0.7500 0.5000  4 Ho 3.19, 2 Tl 3.24
Tl: 0.5000 0.0000 0.0000  2 Cd 2.85
Tl: 0.0000 0.5000 0.0000  2 Cd 2.85
Ho: 0.6395 0.6395 0.2789  8 Tl 3.19-3.38
Ho: 0.3605 0.3605 0.7211  8 Tl 3.19-3.38
Cd: 0.0000 0.0000 0.0000  4 Tl 2.85

Calculated values
DOS at the Fermi energy in states/eV per atom: 0.70
E_form in meV per atom: 36
Final energy in eV/f.u.: -19.29
Space-group type: No. 139

=====

(2)
Here is crystalline Pm3Nd12Ho at its relaxed geometry from the Alexandria database. Energies are from PBE.

Lattice parameters (Å, degrees): 5.1830 5.1830 20.7061 90.00 90.00 90.00
Last column: nearest neighbours and their distance in Å.
Element x y z (fractional)
Pm: 0.0000 0.0000 0.2489  12 Nd 3.66-3.67
Pm: 0.0000 0.0000 0.5000  12 Nd 3.66-3.67
Pm: 0.0000 0.0000 0.7511  12 Nd 3.66-3.67
Nd: 0.5000 0.5000 0.0000  8 Nd 3.64, 4 Ho 3.66
Nd: 0.5000 0.5000 0.2486  8 Nd 3.66-3.68, 4 Pm 3.66
Nd: 0.5000 0.5000 0.5000  4 Pm 3.66, 8 Nd 3.67
Nd: 0.5000 0.5000 0.7514  8 Nd 3.66-3.68, 4 Pm 3.66
Nd: 0.5000 0.0000 0.1235  2 Ho 3.64, 8 Nd 3.64-3.66, 2 Pm 3.67
Nd: 0.5000 0.0000 0.3745  8 Nd 3.66-3.68, 4 Pm 3.67
Nd: 0.5000 0.0000 0.6255  8 Nd 3.66-3.68, 4 Pm 3.67
Nd: 0.5000 0.0000 0.8765  8 Nd 3.64-3.66, 2 Ho 3.64, 2 Pm 3.67
Nd: 0.0000 0.5000 0.1235  2 Ho 3.64, 8 Nd 3.64-3.66, 2 Pm 3.67
Nd: 0.0000 0.5000 0.3745  8 Nd 3.66-3.68, 4 Pm 3.67
Nd: 0.0000 0.5000 0.6255  8 Nd 3.66-3.68, 4 Pm 3.67
Nd: 0.0000 0.5000 0.8765  8 Nd 3.64-3.66, 2 Ho 3.64, 2 Pm 3.67
Ho: 0.0000 0.0000 0.0000  12 Nd 3.64-3.66

Calculated values
DOS at the Fermi energy in states/eV per atom: 1.54
E_form in meV per atom: 12
Final energy in eV/f.u.: -75.85
Space-group type: No. 123